Material: FeGeAsBr2
Method: DFT, PBE
State: optimized geometry

Cell lengths 5.0169, 5.0169, 4.7486 Å; angles 90.00, 90.00, 90.00 degrees
Closest atoms and distances in Å follow each position.
Fractional coordinates of all 5 atoms:
1 Fe 0.0000 0.0000 0.0000  2 As 2.37, 4 Br 2.51
2 Ge 0.5000 0.5000 0.5000  8 Br 3.45, 4 As 3.55
3 As 0.0000 0.0000 0.5000  2 Fe 2.37
4 Br 0.0000 0.5000 0.0000  2 Fe 2.51
5 Br 0.5000 0.0000 0.0000  2 Fe 2.51

Computed properties:
Volume   23.90 Å³/atom
E   -19.07 eV per formula unit
Raw formation energy   2.0 eV per formula unit
SG   P4/mmm, No. 123

=====

Material: K13Pb2
Method: DFT, PBE
State: optimized geometry

Cell lengths 10.6726, 10.6726, 10.6726 Å; angles 63.79, 63.79, 63.79 degrees
Closest atoms and distances in Å follow each position.
Fractional coordinates of all 15 atoms:
1 K 0.0000 0.0000 0.0000  2 Pb 3.45
2 K 0.1168 0.1168 0.4947  1 Pb 3.66, 2 K 3.95
3 K 0.1168 0.4947 0.1168  1 Pb 3.66, 2 K 3.95
4 K 0.2924 0.2924 0.7040  2 K 3.95, 1 Pb 3.96
5 K 0.2924 0.7040 0.2924  2 K 3.95, 1 Pb 3.96
6 K 0.2960 0.7076 0.7076  2 K 3.95, 1 Pb 3.96
7 K 0.4947 0.1168 0.1168  1 Pb 3.66, 2 K 3.95
8 K 0.5053 0.8832 0.8832  1 Pb 3.66, 2 K 3.95
9 K 0.7040 0.2924 0.2924  2 K 3.95, 1 Pb 3.96
10 K 0.7076 0.2960 0.7076  2 K 3.95, 1 Pb 3.96
11 K 0.7076 0.7076 0.2960  2 K 3.95, 1 Pb 3.96
12 K 0.8832 0.5053 0.8832  1 Pb 3.66, 2 K 3.95
13 K 0.8832 0.8832 0.5053  1 Pb 3.66, 2 K 3.95
14 Pb 0.1362 0.1362 0.1362  4 K 3.45-3.66
15 Pb 0.8638 0.8638 0.8638  4 K 3.45-3.66

Computed properties:
Volume   62.10 Å³/atom
E   -21.75 eV per formula unit
Calculated formation energy   -5 meV per atom
SG   R-3m, No. 166